An optimized crystal structure of LuPuTlGa. Source: the Alexandria database, functional PBE-GGA.

DOS(E_F): 8.875 states/eV/f.u.
uncorrected energy: -6.284 eV/atom

a b c (Å): 7.3574 7.3574 7.3574
angles (deg): 90.00 90.00 90.00
Space group F-43m (No. 216)
Inequivalent atoms, fractional coordinates:
Lu 0.0000 0.0000 0.0000 x4
Pu 0.0000 0.0000 0.5000 x4
Tl 0.2500 0.2500 0.2500 x4
Ga 0.2500 0.2500 0.7500 x4